The following is a DFT calculation (GGA-PBE) of a relaxed structure of Na5Li2Hg5.

Cell lengths 5.121, 5.121, 13.487 Å; angles 101.59, 101.59, 60.09 degrees
Positions (direct):
Na (0.000, 0.000, 0.000)
Na (0.193, 0.193, 0.577)
Na (0.274, 0.274, 0.832)
Na (0.726, 0.726, 0.168)
Na (0.807, 0.807, 0.423)
Li (0.433, 0.433, 0.289)
Li (0.567, 0.567, 0.711)
Hg (0.097, 0.097, 0.284)
Hg (0.363, 0.363, 0.076)
Hg (0.500, 0.500, 0.500)
Hg (0.637, 0.637, 0.924)
Hg (0.903, 0.903, 0.716)

As for the total DFT energy (no corrections): -14.5 eV per cell. For the total magnetization, the calculation gives 0.00 μB/f.u. The volume comes out at 298 Å³/f.u. The density of states at the Fermi level comes out at 0.369 states/eV per atom.